Record 1
Compound: RbP2Pt7Pb2
Source: Alexandria
Functional: GGA-PBE
Structure: optimized geometry

The structure in POSCAR format:
```
RbP2Pt7Pb2
1.0
-2.844 2.790 0.750
-1.709 -2.474 2.718
6.141 5.906 12.254
Rb P Pt Pb
1 2 7 2
Direct
0.000 0.000 0.000 Rb
0.578 0.578 0.844 P
0.422 0.422 0.156 P
0.500 0.500 0.000 Pt
0.310 0.310 0.380 Pt
0.690 0.690 0.620 Pt
0.881 0.381 0.239 Pt
0.381 0.881 0.239 Pt
0.619 0.119 0.761 Pt
0.119 0.619 0.761 Pt
0.790 0.790 0.420 Pb
0.210 0.210 0.580 Pb
```

Summary:
DFT formation energy	-0.31	eV/atom
magnetization	0.0	Bohr magnetons per cell
N(E_F)	4.399	states/eV/f.u.

Record 2
Compound: K6Au7
Source: Alexandria
Functional: GGA-PBE
Structure: optimized geometry

The structure in POSCAR format:
```
K6Au7
1.0
-9.456 8.889 -6.989
-13.002 5.011 -4.807
-11.254 9.383 -1.613
K Au
6 7
Direct
0.935 0.935 0.935 K
0.065 0.065 0.065 K
0.848 0.848 0.848 K
0.152 0.152 0.152 K
0.700 0.700 0.700 K
0.300 0.300 0.300 K
0.892 0.394 0.394 Au
0.394 0.394 0.892 Au
0.394 0.892 0.394 Au
0.108 0.606 0.606 Au
0.606 0.108 0.606 Au
0.606 0.606 0.108 Au
0.500 0.500 0.500 Au
```

Summary:
DFT formation energy	-0.25	eV/atom
magnetization	0.5	Bohr magnetons per cell
N(E_F)	2.572	states/eV/f.u.

Record 3
Compound: Ac3SnPt
Source: Alexandria
Functional: GGA-PBE
Structure: optimized geometry

The structure in POSCAR format:
```
Ac3SnPt
1.0
-4.331 -2.869 -2.696
2.968 -5.013 0.568
-2.587 -0.946 5.164
Ac Sn Pt
3 1 1
Direct
0.000 0.500 0.000 Ac
0.000 0.000 0.500 Ac
0.500 0.000 0.000 Ac
0.500 0.500 0.500 Sn
0.000 0.000 0.000 Pt
```

Summary:
DFT formation energy	-0.57	eV/atom
magnetization	0.0	Bohr magnetons per cell
N(E_F)	4.162	states/eV/f.u.

Record 4
Compound: Ni2SbP
Source: Alexandria
Functional: GGA-PBE
Structure: optimized geometry

The structure in POSCAR format:
```
Ni2SbP
1.0
-0.889 -3.922 1.685
-4.128 -1.133 0.826
-1.960 -3.030 -2.446
Sb P Ni
1 1 2
Direct
0.500 0.500 0.500 Sb
0.000 0.000 0.000 P
0.250 0.250 0.250 Ni
0.750 0.750 0.750 Ni
```

Summary:
total energy	-5.15	eV per atom
magnetization	0.0	Bohr magnetons per cell
N(E_F)	1.599	states/eV/f.u.

Record 5
Compound: Mg2CuIr
Source: Alexandria
Functional: GGA-PBE
Structure: optimized geometry

The structure in POSCAR format:
```
Mg2CuIr
1.0
-1.481 2.411 8.424
-0.469 -0.258 8.871
1.368 1.950 8.562
Cu Ir Mg
1 1 2
Direct
0.250 0.250 0.250 Cu
0.750 0.750 0.750 Ir
0.001 0.001 0.001 Mg
0.499 0.499 0.499 Mg
```

Summary:
DFT formation energy	-0.07	eV/atom
magnetization	0.2	Bohr magnetons per cell
N(E_F)	2.668	states/eV/f.u.

Record 6
Compound: Ac2YZrO6
Source: Alexandria
Functional: GGA-PBE
Structure: optimized geometry

The structure in POSCAR format:
```
Ac2YZrO6
1.0
6.042 0.000 -0.048
0.000 6.110 0.000
-0.016 0.000 8.509
Ac Y Zr O
4 2 2 12
Direct
0.011 0.941 0.246 Ac
0.511 0.559 0.746 Ac
0.989 0.059 0.754 Ac
0.489 0.441 0.254 Ac
0.500 0.000 0.000 Y
0.000 0.500 0.500 Y
0.500 0.000 0.500 Zr
0.000 0.500 0.000 Zr
0.299 0.692 0.053 O
0.799 0.808 0.553 O
0.701 0.308 0.947 O
0.201 0.192 0.447 O
0.306 0.703 0.441 O
0.806 0.797 0.941 O
0.694 0.297 0.559 O
0.194 0.203 0.059 O
0.893 0.530 0.244 O
0.393 0.970 0.744 O
0.107 0.470 0.756 O
0.607 0.030 0.256 O
```

Summary:
total energy	-8.55	eV per atom
magnetization	1.9	Bohr magnetons per cell
N(E_F)	1.317	states/eV/f.u.

Calculated volume readings, ordered: 20.055, 30.991, 40.102, 14.651, 15.774, 15.706 A^3/atom